{"formula": "Tb12Y7Sc", "functional": "PBE", "state": "optimized geometry", "cell": [[-3.231, 0.234, -5.806], [-4.870, -8.510, 4.905], [-10.337, 1.609, 3.279]], "species": ["Tb", "Tb", "Tb", "Tb", "Tb", "Tb", "Tb", "Tb", "Tb", "Tb", "Tb", "Tb", "Y", "Y", "Y", "Y", "Y", "Y", "Y", "Sc"], "frac_coords": [[0.731, 0.478, 0.065], [0.204, 0.935, 0.543], [0.293, 0.212, 0.213], [0.494, 0.787, 0.425], [0.747, 0.543, 0.522], [0.920, 0.425, 0.788], [0.080, 0.575, 0.212], [0.253, 0.457, 0.478], [0.506, 0.213, 0.575], [0.707, 0.788, 0.787], [0.796, 0.065, 0.457], [0.269, 0.522, 0.935], [0.801, 0.162, 0.136], [0.063, 0.864, 0.299], [0.361, 0.299, 0.838], [0.500, 0.000, 0.000], [0.639, 0.701, 0.162], [0.937, 0.136, 0.701], [0.199, 0.838, 0.864], [0.000, 0.000, 0.000]], "space_group": "No. 148", "formation_enthalpy_0k_ev_per_atom": 0.301, "polymorph_energy_ev_per_fu": 1.23}

{"formula": "Tb15Y2Sc2", "functional": "PBE", "state": "optimized geometry", "cell": [[6.627, -5.535, -0.566], [6.627, 5.535, -0.566], [2.753, 0.000, 8.203]], "species": ["Tb", "Tb", "Tb", "Tb", "Tb", "Tb", "Tb", "Tb", "Tb", "Tb", "Tb", "Tb", "Tb", "Tb", "Tb", "Y", "Y", "Sc", "Sc"], "frac_coords": [[0.000, 0.000, 0.500], [0.500, 0.000, 0.000], [0.000, 0.500, 0.000], [0.294, 0.706, 0.000], [0.000, 0.294, 0.706], [0.706, 0.000, 0.294], [0.000, 0.706, 0.294], [0.294, 0.000, 0.706], [0.706, 0.294, 0.000], [0.630, 0.630, 0.147], [0.147, 0.630, 0.630], [0.630, 0.147, 0.630], [0.370, 0.370, 0.853], [0.853, 0.370, 0.370], [0.370, 0.853, 0.370], [0.319, 0.319, 0.319], [0.681, 0.681, 0.681], [0.091, 0.091, 0.091], [0.909, 0.909, 0.909]], "space_group": "No. 166", "formation_enthalpy_0k_ev_per_atom": 0.278}

{"formula": "Tb3Y7Sc", "functional": "PBE", "state": "optimized geometry", "cell": [[-3.900, 7.579, -0.673], [-3.834, -2.450, -5.364], [-2.367, -0.633, 6.593]], "species": ["Tb", "Tb", "Tb", "Y", "Y", "Y", "Y", "Y", "Y", "Y", "Sc"], "frac_coords": [[0.780, 0.499, 0.501], [0.780, 0.499, 0.998], [0.780, 0.002, 0.501], [0.120, 0.169, 0.831], [0.120, 0.169, 0.337], [0.118, 0.667, 0.333], [0.450, 0.832, 0.168], [0.450, 0.335, 0.168], [0.450, 0.832, 0.665], [0.120, 0.663, 0.831], [0.447, 0.333, 0.667]], "space_group": "No. 156", "formation_enthalpy_0k_ev_per_atom": 0.200, "polymorph_energy_ev_per_fu": 0.57}

Copy entry 1 word for word.
{"formula": "Tb12Y7Sc", "functional": "PBE", "state": "optimized geometry", "cell": [[-3.231, 0.234, -5.806], [-4.870, -8.510, 4.905], [-10.337, 1.609, 3.279]], "species": ["Tb", "Tb", "Tb", "Tb", "Tb", "Tb", "Tb", "Tb", "Tb", "Tb", "Tb", "Tb", "Y", "Y", "Y", "Y", "Y", "Y", "Y", "Sc"], "frac_coords": [[0.731, 0.478, 0.065], [0.204, 0.935, 0.543], [0.293, 0.212, 0.213], [0.494, 0.787, 0.425], [0.747, 0.543, 0.522], [0.920, 0.425, 0.788], [0.080, 0.575, 0.212], [0.253, 0.457, 0.478], [0.506, 0.213, 0.575], [0.707, 0.788, 0.787], [0.796, 0.065, 0.457], [0.269, 0.522, 0.935], [0.801, 0.162, 0.136], [0.063, 0.864, 0.299], [0.361, 0.299, 0.838], [0.500, 0.000, 0.000], [0.639, 0.701, 0.162], [0.937, 0.136, 0.701], [0.199, 0.838, 0.864], [0.000, 0.000, 0.000]], "space_group": "No. 148", "formation_enthalpy_0k_ev_per_atom": 0.301, "polymorph_energy_ev_per_fu": 1.23}